TlCuAu2 (GGA-PBE, relaxed); SG = P2/m, No. 10; magnetization = 0.0 μB per formula unit; energy relative to the lowest polymorph listed for this composition = 78 meV/atom; calculated formation energy = 0.136 eV per atom; raw total energy = -3.118 eV per atom; N(E_F) = 1.2 states/eV/cell
1.0
3.569 0.000 0.000
0.000 4.246 0.000
-1.734 0.000 5.243
Tl Cu Au
1 1 2
Direct
0.000 0.000 0.000
0.000 0.000 0.500
0.388 0.500 0.722
0.612 0.500 0.278

TlCuAu3 (GGA-PBE, relaxed); SG = Pm-3m, No. 221; magnetization = 0.0 μB per formula unit; energy relative to the lowest polymorph listed for this composition = 704 meV/atom; calculated formation energy = 1.012 eV per atom; raw total energy = -2.247 eV per atom; N(E_F) = 2.1 states/eV/cell
1.0
5.276 0.000 0.000
0.000 5.276 0.000
0.000 0.000 5.276
Tl Cu Au
1 1 3
Direct
0.000 0.000 0.000
0.500 0.500 0.500
0.000 0.000 0.500
0.000 0.500 0.000
0.500 0.000 0.000

Tl4CuAu (GGA-PBE, relaxed); SG = F-43m, No. 216; magnetization = 0.0 μB per formula unit; calculated formation energy = 0.533 eV per atom; raw total energy = -2.274 eV per atom; N(E_F) = 4.4 states/eV/cell
1.0
0.000 4.447 4.447
4.447 0.000 4.447
4.447 4.447 0.000
Tl Cu Au
4 1 1
Direct
0.125 0.125 0.125
0.125 0.125 0.625
0.125 0.625 0.125
0.625 0.125 0.125
0.500 0.500 0.500
0.750 0.750 0.750

TlCu3Au3 (GGA-PBE, relaxed); SG = Pm-3n, No. 223; magnetization = 0.0 μB per formula unit; calculated formation energy = 0.434 eV per atom; raw total energy = -3.064 eV per atom; N(E_F) = 2.9 states/eV/cell
1.0
7.030 0.000 0.000
0.000 7.030 0.000
0.000 0.000 7.030
Tl Cu Au
2 6 6
Direct
0.000 0.000 0.000
0.500 0.500 0.500
0.000 0.250 0.500
0.000 0.750 0.500
0.250 0.500 0.000
0.500 0.000 0.250
0.500 0.000 0.750
0.750 0.500 0.000
0.000 0.500 0.250
0.000 0.500 0.750
0.250 0.000 0.500
0.500 0.250 0.000
0.500 0.750 0.000
0.750 0.000 0.500

TlCu2Au (GGA-PBE, relaxed); SG = R-3m, No. 166; magnetization = 0.0 μB per formula unit; calculated formation energy = 0.262 eV per atom; raw total energy = -3.197 eV per atom; N(E_F) = 2.8 states/eV/cell
1.0
3.293 0.000 0.000
-1.647 2.852 0.000
0.000 0.000 23.220
Tl Cu Au
3 6 3
Direct
0.000 0.000 0.000
0.333 0.667 0.667
0.667 0.333 0.333
0.000 0.000 0.245
0.000 0.000 0.755
0.333 0.667 0.422
0.333 0.667 0.911
0.667 0.333 0.089
0.667 0.333 0.578
0.000 0.000 0.500
0.333 0.667 0.167
0.667 0.333 0.833

Tl2CuAu (GGA-PBE, relaxed); SG = Fm-3m, No. 225; magnetization = 0.0 μB per formula unit; energy relative to the lowest polymorph listed for this composition = 148 meV/atom; calculated formation energy = 0.231 eV per atom; raw total energy = -2.796 eV per atom; N(E_F) = 5.0 states/eV/cell
1.0
7.095 0.000 0.000
0.000 7.095 0.000
0.000 0.000 7.095
Tl Cu Au
8 4 4
Direct
0.250 0.250 0.250
0.250 0.250 0.750
0.250 0.750 0.250
0.250 0.750 0.750
0.750 0.250 0.250
0.750 0.250 0.750
0.750 0.750 0.250
0.750 0.750 0.750
0.000 0.000 0.000
0.000 0.500 0.500
0.500 0.000 0.500
0.500 0.500 0.000
0.000 0.000 0.500
0.000 0.500 0.000
0.500 0.000 0.000
0.500 0.500 0.500